Entry 1:
KSr: PBEsol geometry, meta-GGA SCAN.

Calculated values
N(E_F): 1.008 states/eV/atom
crystal system: tetragonal
calculated volume: 119 Å³/f.u.
magnetization: 0.11 μB per formula unit
SG: P4/nmm (129)
E_form: 0.064 eV/atom

abc: 4.228 4.228 13.292
angles: 90.00 90.00 90.00
Sites, in units of the cell vectors:
Sr 0.500 0.000 0.389
Sr 0.000 0.500 0.611
K 0.500 0.000 0.864
K 0.000 0.500 0.136

Entry 2:
AlSi2Te: PBEsol geometry, meta-GGA SCAN.

Calculated values
N(E_F): 0.455 states/eV/atom
crystal system: tetragonal
calculated volume: 74 Å³/f.u.
magnetization: 0.00 μB per formula unit
energy relative to the elements, uncorrected: 2.6 eV per formula unit
SG: I-4m2 (119)

abc: 4.559 4.815 4.559
angles: 61.75 90.00 118.25
Sites, in units of the cell vectors:
Si 0.000 0.000 0.000
Si 0.250 0.500 0.250
Te 0.500 0.000 0.500
Al 0.750 0.500 0.750

Entry 3:
CsHg2OsAu: PBEsol geometry, meta-GGA SCAN.

Calculated values
N(E_F): 0.187 states/eV/atom
crystal system: tetragonal
calculated volume: 148 Å³/f.u.
magnetization: 2.75 μB per formula unit
SG: P4/mmm (123)
E_form: 0.733 eV/atom

abc: 5.198 5.334 5.334
angles: 90.00 90.00 90.00
Last column: magnetic moment on the atom in μB.
Sites, in units of the cell vectors:
Cs 0.500 0.500 0.500  0.01
Os 0.500 0.000 0.000  2.24
Au 0.000 0.000 0.000  0.11
Hg 0.000 0.000 0.500  0.01
Hg 0.000 0.500 0.000  0.01

Q: Number 2 is which compound?
A: AlSi2Te

Repeat the third record exactly.
CsHg2OsAu: PBEsol geometry, meta-GGA SCAN.

Calculated values
N(E_F): 0.187 states/eV/atom
crystal system: tetragonal
calculated volume: 148 Å³/f.u.
magnetization: 2.75 μB per formula unit
SG: P4/mmm (123)
E_form: 0.733 eV/atom

abc: 5.198 5.334 5.334
angles: 90.00 90.00 90.00
Last column: magnetic moment on the atom in μB.
Sites, in units of the cell vectors:
Cs 0.500 0.500 0.500  0.01
Os 0.500 0.000 0.000  2.24
Au 0.000 0.000 0.000  0.11
Hg 0.000 0.000 0.500  0.01
Hg 0.000 0.500 0.000  0.01

Q: What is the magnetization in the first record?
A: 0.11 μB per formula unit

Q: Look up the magnetization of the first one.
A: 0.11 μB per formula unit